# 1
Compound: Co2ReMo
Source: the Alexandria database
Functional: GGA-PBEsol
Structure: relaxed

abc: 5.194 7.319 2.597
angles: 90.00 90.00 90.00
Space group Cmmm (No. 65)
One atom of each set of equivalent atoms:
1 Co 0.250 0.250 0.000 (multiplicity 4)
2 Re 0.000 0.000 0.500 (multiplicity 2)
3 Mo 0.000 0.500 0.500 (multiplicity 2)

Computed properties:
For the density of states at the Fermi level, the calculation gives 6.52 states/eV per cell. Its formation energy is -1 kJ/mol of formula units. The raw total energy comes out at -10.15 eV/atom. The energy relative to the lowest polymorph listed for this composition comes out at 7.06 kJ/mol of atoms.



# 2
Compound: CeGe2Ru2
Source: the Alexandria database
Functional: GGA-PBEsol
Structure: relaxed

abc: 4.218 4.218 9.858
angles: 90.00 90.00 90.00
Space group I4/mmm (No. 139)
One atom of each set of equivalent atoms:
1 Ce 0.000 0.000 0.000 (multiplicity 2)
2 Ge 0.000 0.000 0.370 (multiplicity 4)
3 Ru 0.000 0.500 0.250 (multiplicity 4)

Computed properties:
For the density of states at the Fermi level, the calculation gives 10.61 states/eV per cell. Its formation energy is -300 kJ/mol of formula units. The raw total energy comes out at -7.98 eV/atom.



# 3
Compound: Os2RuPb
Source: the Alexandria database
Functional: GGA-PBEsol
Structure: relaxed

abc: 2.799 3.779 6.215
angles: 90.00 95.23 90.00
Space group Pm (No. 6)
One atom of each set of equivalent atoms:
1 Os 0.000 0.000 0.000 (multiplicity 1)
2 Os 0.462 0.500 0.803 (multiplicity 1)
3 Ru 0.915 0.000 0.586 (multiplicity 1)
4 Pb 0.413 0.500 0.311 (multiplicity 1)

Computed properties:
For the density of states at the Fermi level, the calculation gives 3.73 states/eV per cell. Its formation energy is 267 kJ/mol of formula units. The raw total energy comes out at -8.96 eV/atom.



# 4
Compound: Te2MoPN
Source: the Alexandria database
Functional: GGA-PBEsol
Structure: relaxed

abc: 5.265 5.265 3.264
angles: 90.00 90.00 90.00
Space group P4/mmm (No. 123)
One atom of each set of equivalent atoms:
1 Te 0.000 0.500 0.000 (multiplicity 2)
2 Mo 0.000 0.000 0.500 (multiplicity 1)
3 P 0.500 0.500 0.000 (multiplicity 1)
4 N 0.500 0.500 0.500 (multiplicity 1)

Computed properties:
For the density of states at the Fermi level, the calculation gives 4.33 states/eV per cell. The raw total energy comes out at -5.84 eV/atom. The calculation puts the uncorrected formation energy at 0.78 eV/atom.



# 5
Compound: YErAl2O6
Source: the Alexandria database
Functional: GGA-PBEsol
Structure: relaxed

abc: 7.340 5.139 5.326
angles: 90.00 90.00 90.00
Space group Pmc2_1 (No. 26)
One atom of each set of equivalent atoms:
1 Y 0.000 0.236 0.000 (multiplicity 2)
2 Er 0.500 0.264 0.883 (multiplicity 2)
3 Al 0.251 0.249 0.443 (multiplicity 4)
4 O 0.000 0.338 0.420 (multiplicity 2)
5 O 0.205 0.047 0.740 (multiplicity 4)
6 O 0.299 0.453 0.147 (multiplicity 4)
7 O 0.500 0.157 0.469 (multiplicity 2)

Computed properties:
For the density of states at the Fermi level, the calculation gives 0.00 states/eV per cell. The raw total energy comes out at -8.56 eV/atom. The calculation puts the uncorrected formation energy at -3.42 eV/atom.



# 6
Compound: ReAg2Se
Source: the Alexandria database
Functional: GGA-PBEsol
Structure: relaxed

abc: 5.125 5.125 2.627
angles: 90.00 90.00 90.00
Space group P4/mmm (No. 123)
One atom of each set of equivalent atoms:
1 Re 0.000 0.000 0.000 (multiplicity 1)
2 Ag 0.000 0.500 0.500 (multiplicity 2)
3 Se 0.500 0.500 0.000 (multiplicity 1)

Computed properties:
For the density of states at the Fermi level, the calculation gives 2.80 states/eV per cell. The raw total energy comes out at -5.06 eV/atom. The calculation puts the uncorrected formation energy at 0.89 eV/atom.



# 7
Compound: MgFePb2
Source: the Alexandria database
Functional: GGA-PBEsol
Structure: relaxed

abc: 3.393 3.393 7.510
angles: 90.00 90.00 90.00
Space group P4/mmm (No. 123)
One atom of each set of equivalent atoms:
1 Mg 0.000 0.000 0.000 (multiplicity 1)
2 Fe 0.000 0.000 0.500 (multiplicity 1)
3 Pb 0.500 0.500 0.285 (multiplicity 2)

Computed properties:
For the density of states at the Fermi level, the calculation gives 4.72 states/eV per cell. Its formation energy is 129 kJ/mol of formula units. The raw total energy comes out at -4.33 eV/atom.



# 8
Compound: La2CdHg
Source: the Alexandria database
Functional: GGA-PBEsol
Structure: relaxed

abc: 4.619 4.619 10.131
angles: 90.00 90.00 90.00
Space group I-4m2 (No. 119)
One atom of each set of equivalent atoms:
1 La 0.000 0.000 0.000 (multiplicity 2)
2 La 0.000 0.500 0.250 (multiplicity 2)
3 Cd 0.000 0.000 0.500 (multiplicity 2)
4 Hg 0.000 0.500 0.750 (multiplicity 2)

Computed properties:
For the density of states at the Fermi level, the calculation gives 7.45 states/eV per cell. Its formation energy is -137 kJ/mol of formula units. The raw total energy comes out at -3.47 eV/atom. The energy relative to the lowest polymorph listed for this composition comes out at 7.23 kJ/mol of atoms.



# 9
Compound: Ga2Os2Cl
Source: the Alexandria database
Functional: GGA-PBEsol
Structure: relaxed

abc: 4.923 4.923 7.539
angles: 90.00 90.00 90.00
Space group I4/mmm (No. 139)
One atom of each set of equivalent atoms:
1 Ga 0.000 0.500 0.250 (multiplicity 4)
2 Os 0.000 0.000 0.149 (multiplicity 4)
3 Cl 0.000 0.000 0.500 (multiplicity 2)

Computed properties:
For the density of states at the Fermi level, the calculation gives 9.97 states/eV per cell. The raw total energy comes out at -6.02 eV/atom. The calculation puts the uncorrected formation energy at 0.61 eV/atom.



# 10
Compound: HfTcW2C
Source: the Alexandria database
Functional: GGA-PBEsol
Structure: relaxed

abc: 4.753 4.753 4.557
angles: 90.00 90.00 90.00
Space group P4/mmm (No. 123)
One atom of each set of equivalent atoms:
1 Hf 0.000 0.000 0.000 (multiplicity 1)
2 Tc 0.000 0.000 0.500 (multiplicity 1)
3 W 0.000 0.500 0.000 (multiplicity 2)
4 C 0.500 0.500 0.500 (multiplicity 1)

Computed properties:
For the density of states at the Fermi level, the calculation gives 4.43 states/eV per cell. Its formation energy is 1820 kJ/mol of formula units. The raw total energy comes out at -8.03 eV/atom.



# 11
Compound: Mg2InIr
Source: the Alexandria database
Functional: GGA-PBEsol
Structure: relaxed

abc: 6.512 6.512 6.512
angles: 90.00 90.00 90.00
Space group F-43m (No. 216)
One atom of each set of equivalent atoms:
1 Mg 0.000 0.000 0.000 (multiplicity 4)
2 Mg 0.250 0.250 0.250 (multiplicity 4)
3 In 0.250 0.250 0.750 (multiplicity 4)
4 Ir 0.000 0.000 0.500 (multiplicity 4)

Computed properties:
For the density of states at the Fermi level, the calculation gives 5.78 states/eV per cell. Its formation energy is -87 kJ/mol of formula units. The raw total energy comes out at -4.28 eV/atom.



# 12
Compound: CuReC3
Source: the Alexandria database
Functional: GGA-PBEsol
Structure: relaxed

abc: 3.671 3.671 3.671
angles: 90.00 90.00 90.00
Space group Pm-3m (No. 221)
One atom of each set of equivalent atoms:
1 Cu 0.000 0.000 0.000 (multiplicity 1)
2 Re 0.500 0.500 0.500 (multiplicity 1)
3 C 0.000 0.000 0.500 (multiplicity 3)

Computed properties:
For the density of states at the Fermi level, the calculation gives 3.78 states/eV per cell. Its formation energy is 1379 kJ/mol of formula units. The raw total energy comes out at -6.46 eV/atom.



# 13
Compound: CuIr2Se
Source: the Alexandria database
Functional: GGA-PBEsol
Structure: relaxed

abc: 2.944 3.314 5.715
angles: 90.00 90.00 90.00
Space group Pmmm (No. 47)
One atom of each set of equivalent atoms:
1 Cu 0.000 0.000 0.000 (multiplicity 1)
2 Ir 0.500 0.500 0.240 (multiplicity 2)
3 Se 0.000 0.000 0.500 (multiplicity 1)

Computed properties:
For the density of states at the Fermi level, the calculation gives 3.15 states/eV per cell. The raw total energy comes out at -6.61 eV/atom. The calculation puts the uncorrected formation energy at 0.34 eV/atom.



# 14
Compound: YHf2AlHg
Source: the Alexandria database
Functional: GGA-PBEsol
Structure: relaxed

abc: 5.071 5.071 5.203
angles: 90.00 90.00 90.00
Space group P4/mmm (No. 123)
One atom of each set of equivalent atoms:
1 Y 0.000 0.000 0.000 (multiplicity 1)
2 Hf 0.000 0.500 0.000 (multiplicity 2)
3 Al 0.000 0.000 0.500 (multiplicity 1)
4 Hg 0.500 0.500 0.500 (multiplicity 1)

Computed properties:
For the density of states at the Fermi level, the calculation gives 4.91 states/eV per cell. Its formation energy is 690 kJ/mol of formula units. The raw total energy comes out at -5.07 eV/atom.